DFT (GGA+U) results for a geometry-optimized SrCoSeO structure.

Geometry as POSCAR:
```
SrCoSeO
1.0
7.1636 0.0000 0.0000
0.0000 7.3139 0.0000
0.0000 0.0000 12.5014
Sr Co Se O
8 8 8 8
Cartesian
1.7661 0.3321 2.9596
1.7661 3.3248 9.2103
1.8157 3.9891 2.9596
1.8157 6.9818 9.2103
5.3480 0.3321 3.2911
5.3480 3.3248 9.5418
5.3975 3.9891 3.2911
5.3975 6.9818 9.5418
0.3257 5.0815 11.6486
0.3257 5.8893 5.3979
3.2561 1.4246 11.6486
3.2561 2.2324 5.3979
3.9076 5.0815 7.1035
3.9076 5.8893 0.8528
6.8379 1.4246 7.1035
6.8379 2.2324 0.8528
1.7482 0.4868 6.1909
1.7482 3.1701 12.4416
1.8336 4.1438 6.1909
1.8336 6.8271 12.4416
5.3300 0.4868 0.0598
5.3300 3.1701 6.3105
5.4154 4.1438 0.0598
5.4154 6.8271 6.3105
0.0668 5.1847 9.7488
0.0668 5.7862 3.4981
3.5150 1.5277 9.7488
3.5150 2.1292 3.4981
3.6486 5.1847 9.0033
3.6486 5.7862 2.7526
7.0969 1.5277 9.0033
7.0969 2.1292 2.7526
```

Properties
M_tot in μB per atom: 0.2499
Space group: Pbca, No. 61
VASP energy in Ha/atom: -0.1842